[1]
V2ZnO4, single point on PBEsol structure, DFT SCAN; SG = No. 8; total magnetic moment = 4.0 μB/f.u.; theoretical density = 5.2 Mg/m³; formation energy from raw total energies = -2.29 eV/atom
1.0
-3.400 -3.049 -3.612
5.922 -0.661 -0.323
-0.728 -10.738 9.750
V Zn O
12 6 24
direct
0.822 0.156 0.835
0.500 0.999 0.623
0.501 0.002 0.997
0.334 0.156 0.835
0.501 0.500 0.501
0.171 0.342 0.291
0.999 0.500 0.501
0.174 0.842 0.166
0.829 0.657 0.713
0.668 0.842 0.166
0.500 0.999 0.376
0.168 0.337 0.041
0.837 0.673 0.960
0.162 0.325 0.668
0.325 0.651 0.834
0.835 0.670 0.333
0.999 0.998 0.500
0.673 0.345 0.165
0.651 0.844 0.914
0.501 0.002 0.752
0.193 0.844 0.914
0.655 0.309 0.916
0.338 0.181 0.579
0.998 0.997 0.758
0.173 0.346 0.420
0.483 0.471 0.755
0.843 0.181 0.579
0.151 0.303 0.912
0.330 0.660 0.580
0.987 0.471 0.755
0.015 0.528 0.245
0.669 0.339 0.421
0.155 0.817 0.421
0.512 0.528 0.245
0.841 0.681 0.094
0.827 0.653 0.583
0.003 0.006 0.243
0.662 0.817 0.421
0.344 0.688 0.083
0.818 0.152 0.082
0.504 0.007 0.247
0.334 0.152 0.082

[2]
SrBS2, single point on PBEsol structure, DFT SCAN; SG = No. 166; total magnetic moment = 0.0 μB/f.u.; theoretical density = 2.5 Mg/m³; formation energy from raw total energies = -0.80 eV/atom
1.0
-2.362 -0.714 -3.715
0.400 -3.865 -2.188
-5.361 -3.975 1.496
Sr S B
1 2 1
direct
0.500 0.500 0.500
0.910 0.910 0.270
0.090 0.090 0.730
0.000 0.000 0.000

[3]
KAuCl4, single point on PBEsol structure, DFT SCAN; SG = No. 14; total magnetic moment = 0.0 μB/f.u.; theoretical density = 3.9 Mg/m³; formation energy from raw total energies = -1.06 eV/atom
1.0
5.602 0.000 0.000
0.000 6.967 0.003
0.000 -2.083 8.330
K Au Cl
2 2 8
direct
0.500 0.000 0.000
0.000 0.500 0.500
0.000 0.500 0.000
0.500 0.000 0.500
0.010 0.757 0.878
0.510 0.743 0.622
0.990 0.243 0.122
0.490 0.257 0.378
0.692 0.361 0.835
0.192 0.139 0.665
0.308 0.639 0.165
0.808 0.861 0.335

[4]
BaCaFe2Co2O7, single point on PBEsol structure, DFT SCAN; SG = No. 8; total magnetic moment = 6.0 μB/f.u.; theoretical density = 5.0 Mg/m³; formation energy from raw total energies = -1.98 eV/atom
1.0
-3.714 4.302 -2.625
-2.920 -1.233 -5.399
-7.773 -3.793 5.343
Ca Co Ba O Fe
2 4 2 14 4
direct
0.329 0.329 0.373
0.667 0.667 0.878
0.816 0.816 0.190
0.807 0.342 0.179
0.342 0.807 0.179
0.230 0.230 0.672
0.307 0.307 0.008
0.682 0.682 0.496
0.986 0.986 0.749
0.995 0.995 0.247
0.474 0.474 0.216
0.500 0.961 0.261
0.961 0.500 0.261
0.533 0.533 0.705
0.510 0.027 0.766
0.027 0.510 0.766
0.843 0.843 0.012
0.853 0.305 0.999
0.305 0.853 0.999
0.159 0.159 0.508
0.144 0.694 0.498
0.694 0.144 0.498
0.991 0.991 0.928
0.005 0.005 0.428
0.193 0.649 0.678
0.649 0.193 0.678

[5]
Cr2CoHg, single point on PBEsol structure, DFT SCAN; SG = No. 35; E_form = 498 meV per atom; total magnetic moment = 1.5 μB/f.u.; theoretical density = 11.3 Mg/m³
1.0
2.645 0.015 0.000
-0.970 2.461 0.000
0.000 0.000 8.204
Co Cr Hg
1 2 1
direct
0.500 0.500 0.217
0.000 0.000 0.998
0.500 0.500 0.789
0.000 0.000 0.496

[6]
NbFe3Sb, single point on PBEsol structure, DFT SCAN; SG = No. 221; total magnetic moment = 5.9 μB/f.u.; theoretical density = 7.0 Mg/m³; formation energy from raw total energies = 1.47 eV/atom
1.0
-0.302 -0.862 -4.399
2.477 -3.708 0.556
-3.737 -2.387 0.725
Sb Nb Fe
1 1 3
direct
0.500 0.500 0.500
0.000 0.000 0.000
0.000 0.500 0.000
0.000 0.000 0.500
0.500 0.000 0.000

[7]
SrMnTeO6, single point on PBEsol structure, DFT SCAN; SG = No. 174; total magnetic moment = 3.0 μB/f.u.; theoretical density = 5.0 Mg/m³; formation energy from raw total energies = -1.80 eV/atom
1.0
5.060 0.000 0.000
-2.530 4.382 0.000
0.000 0.000 5.467
Sr Mn Te O
1 1 1 6
direct
0.333 0.667 0.000
0.667 0.333 0.500
0.000 0.000 0.500
0.339 0.250 0.720
0.750 0.090 0.720
0.910 0.661 0.720
0.339 0.250 0.280
0.750 0.090 0.280
0.910 0.661 0.280

[8]
AgBr2, single point on PBEsol structure, DFT SCAN; SG = No. 69; total magnetic moment = 0.0 μB/f.u.; theoretical density = 5.4 Mg/m³; formation energy from raw total energies = -0.22 eV/atom
1.0
-0.890 1.902 -3.185
-3.576 -0.694 -1.700
-2.883 5.374 1.730
Ag Br
1 2
direct
0.500 0.000 0.000
0.142 0.000 0.717
0.858 0.000 0.283

[9]
Ta2IrRu, single point on PBEsol structure, DFT SCAN; SG = No. 123; E_form = -510 meV per atom; total magnetic moment = 0.0 μB/f.u.; theoretical density = 17.5 Mg/m³
1.0
-2.402 1.593 -0.461
-0.855 -1.884 -2.060
-3.559 -3.906 5.048
Ru Ir Ta
1 1 2
direct
0.500 0.500 0.500
0.500 0.500 0.000
0.000 0.000 0.742
0.000 0.000 0.258

[10]
Li3V3B2O10, single point on PBEsol structure, DFT SCAN; SG = No. 55; total magnetic moment = 4.0 μB/f.u.; theoretical density = 3.7 Mg/m³; formation energy from raw total energies = -2.58 eV/atom
1.0
-0.991 2.723 0.110
-7.846 -2.695 -3.946
-4.650 -2.129 10.700
B Li O V
4 6 20 6
direct
0.500 0.763 0.859
0.500 0.737 0.359
0.500 0.263 0.641
0.500 0.237 0.141
0.000 0.000 0.000
0.999 0.008 0.274
0.999 0.492 0.774
0.000 0.500 0.500
0.001 0.508 0.226
0.001 0.992 0.726
0.000 0.881 0.145
0.000 0.880 0.563
0.500 0.887 0.363
0.501 0.834 0.756
0.500 0.844 0.957
0.500 0.656 0.457
0.501 0.666 0.256
0.500 0.613 0.863
0.000 0.620 0.063
0.000 0.619 0.645
0.000 0.381 0.355
0.000 0.380 0.937
0.500 0.387 0.137
0.499 0.334 0.744
0.500 0.344 0.543
0.500 0.156 0.043
0.499 0.166 0.244
0.500 0.113 0.637
0.000 0.120 0.437
0.000 0.119 0.855
0.500 0.000 0.500
0.500 0.764 0.110
0.500 0.736 0.610
0.500 0.500 0.000
0.500 0.264 0.390
0.500 0.236 0.890

[11]
MnBe2Ag, single point on PBEsol structure, DFT SCAN; SG = No. 225; E_form = -26 meV per atom; total magnetic moment = 3.7 μB/f.u.; theoretical density = 6.8 Mg/m³
1.0
-0.007 -1.061 3.831
3.349 0.223 2.130
0.375 2.767 2.829
Be Mn Ag
2 1 1
direct
0.250 0.250 0.250
0.750 0.750 0.750
0.000 0.000 0.000
0.500 0.500 0.500

[12]
Y2FeSb, single point on PBEsol structure, DFT SCAN; SG = No. 123; total magnetic moment = 1.4 μB/f.u.; theoretical density = 6.6 Mg/m³; formation energy from raw total energies = -0.45 eV/atom
1.0
3.876 0.000 0.000
0.000 4.810 0.000
0.000 0.000 4.810
Fe Sb Y
1 1 2
direct
0.500 0.500 0.500
0.500 0.000 0.000
0.000 0.000 0.500
0.000 0.500 0.000

Which formula does entry 6 have?
NbFe3Sb